A geometry-optimized Rb3ZrCd2O6 structure, computed with PBE-GGA.

Magnetization, μB/f.u.: 1.10
Uncorrected energy, hartree per atom: -0.19068

a b c (Å): 6.0052 6.0052 6.7596
angles (deg): 98.18 98.18 120.40
Element x y z (fractional)
O 0.9373 0.6342 0.8204
O 0.2402 0.2402 0.8142
O 0.3658 0.0627 0.1796
O 0.6342 0.9373 0.8204
O 0.0627 0.3658 0.1796
O 0.7598 0.7598 0.1858
Cd 0.3342 0.6658 0.0000
Cd 0.6658 0.3342 0.0000
Zr 0.0000 0.0000 0.0000
Rb 0.1731 0.8269 0.5000
Rb 0.8269 0.1731 0.5000
Rb 0.5000 0.5000 0.5000